Entry from the Alexandria database: a relaxed Sb7O6F9 crystal (GGA-PBEsol).

abc: 5.5477 5.8621 21.6834
angles: 97.77 90.00 90.00
Fractional positions:
F  0.2310  0.4232  0.0934
F  0.6049  0.7378  0.4392
F  0.0474  0.7752  0.2863
F  0.9526  0.2752  0.2863
F  0.1361  0.6635  0.6047
F  0.2310  0.8299  0.9066
F  0.3951  0.2986  0.5608
F  0.8639  0.1635  0.6047
F  0.7690  0.9232  0.0934
F  0.0474  0.9889  0.7137
F  0.1361  0.5588  0.3953
F  0.0587  0.8854  0.5000
F  0.7690  0.3299  0.9066
F  0.6049  0.7986  0.5608
F  0.3951  0.2378  0.4392
F  0.9526  0.4889  0.7137
F  0.9413  0.3854  0.5000
F  0.8639  0.0588  0.3953
O  0.4265  0.7493  0.1807
O  0.5000  0.0489  0.0000
O  0.5735  0.5686  0.8193
O  0.0000  0.0518  0.0000
O  0.5273  0.2670  0.7031
O  0.5735  0.2493  0.1807
O  0.5273  0.0639  0.2969
O  0.4265  0.0686  0.8193
O  0.4727  0.7670  0.7031
O  0.0000  0.5518  0.0000
O  0.5000  0.5489  0.0000
O  0.4727  0.5639  0.2969
Sb  0.2498  0.7264  0.0548
Sb  0.2696  0.5199  0.5000
Sb  0.2498  0.1717  0.9452
Sb  0.3047  0.7529  0.7890
Sb  0.6953  0.9639  0.2110
Sb  0.7502  0.2264  0.0548
Sb  0.7502  0.6717  0.9452
Sb  0.6953  0.2529  0.7890
Sb  0.7304  0.0199  0.5000
Sb  0.3047  0.4639  0.2110
Sb  0.6999  0.3256  0.3514
Sb  0.6999  0.4742  0.6486
Sb  0.3001  0.9742  0.6486
Sb  0.3001  0.8256  0.3514

Values from the calculation:
Formation energy from raw total energies in eV per atom: -1.86



Entry from the Alexandria database: a relaxed YSeCl crystal (GGA-PBEsol).

abc: 4.0274 4.0274 6.1713
angles: 90.00 90.00 120.00
Fractional positions:
Cl  0.0000  0.0000  0.0888
Se  0.6667  0.3333  0.5725
Y  0.3333  0.6667  0.3387

Values from the calculation:
Formation energy from raw total energies in eV per atom: -1.98



Entry from the Alexandria database: a relaxed CsInGe3 crystal (GGA-PBEsol).

abc: 5.6203 5.6203 5.6203
angles: 90.00 90.00 90.00
Fractional positions:
Cs  0.0000  0.0000  0.0000
Ge  0.0000  0.0000  0.5000
Ge  0.0000  0.5000  0.0000
Ge  0.5000  0.0000  0.0000
In  0.5000  0.5000  0.5000

Values from the calculation:
Energy of formation in eV/atom: 1.624



Entry from the Alexandria database: a relaxed BeSeBr2Cl crystal (GGA-PBEsol).

abc: 4.4761 4.4761 5.1712
angles: 90.00 90.00 90.00
Fractional positions:
Be  0.0000  0.0000  0.0000
Se  0.0000  0.0000  0.5000
Br  0.5000  0.0000  0.0000
Br  0.0000  0.5000  0.0000
Cl  0.5000  0.5000  0.5000

Values from the calculation:
Formation energy from raw total energies in eV per atom: 0.08



Entry from the Alexandria database: a relaxed LiAlAg2 crystal (GGA-PBEsol).

abc: 3.7562 3.9049 4.9768
angles: 113.10 112.17 90.00
Fractional positions:
Ag  0.0002  0.0002  0.0005
Ag  0.7514  0.2514  0.5027
Li  0.2501  0.7501  0.5002
Al  0.4983  0.4983  0.9966

Values from the calculation:
Energy of formation in eV/atom: -0.211



Entry from the Alexandria database: a relaxed DyWBrO4 crystal (GGA-PBEsol).

abc: 6.8897 7.2383 10.8888
angles: 102.61 108.85 94.59
Fractional positions:
W  0.7560  0.5868  0.6231
W  0.7253  0.8139  0.1323
W  0.2747  0.1861  0.8677
W  0.2440  0.4132  0.3769
O  0.7272  0.3945  0.6965
O  0.6483  0.6273  0.1986
O  0.9988  0.8829  0.2031
O  0.2728  0.6055  0.3035
O  0.6538  0.7356  0.9553
O  0.3462  0.2644  0.0447
O  0.6492  0.4965  0.4427
O  0.6541  0.7847  0.7073
O  0.5993  0.0112  0.1893
O  0.3517  0.3727  0.8014
O  0.0012  0.1171  0.7969
O  0.9728  0.3478  0.3343
O  0.3508  0.5035  0.5573
O  0.4007  0.9888  0.8107
O  0.0272  0.6522  0.6657
O  0.3459  0.2153  0.2927
Br  0.8048  0.2751  0.0157
Br  0.1952  0.7249  0.9843
Br  0.2623  0.0285  0.5164
Br  0.7377  0.9715  0.4836
Dy  0.3744  0.6650  0.7657
Dy  0.6587  0.1044  0.7307
Dy  0.6256  0.3350  0.2343
Dy  0.3413  0.8956  0.2693

Values from the calculation:
Formation energy from raw total energies in eV per atom: -2.49



| no. | DFT total energy (eV per cell) | magnetic moment (μB/atom) |
| --- | --- | --- |
| 1 | -243.54 | 0.000 |
| 2 | -18.62 | 0.000 |
| 3 | -10.62 | 0.000 |
| 4 | -13.19 | 0.000 |
| 5 | -13.52 | 0.000 |
| 6 | -236.34 | 0.000 |